# 1
Compound: SrNiI6
Source: the Alexandria database
Functional: PBE
Structure: relaxed

Results
ΔE_f (raw), eV per atom: -0.51
Total magnetic moment, μB/cell: 0.0
Mass density, g/cm3: 4.98

abc: 6.9393 7.0723 8.0239
angles: 91.33 114.56 118.47
Atoms (fractional coordinates):
Sr 0.0000 0.0000 0.0000
Ni 0.0000 0.5000 0.5000
I 0.1947 0.4876 0.2811
I 0.1975 0.2957 0.7183
I 0.4086 0.8929 0.7226
I 0.5914 0.1071 0.2774
I 0.8025 0.7043 0.2817
I 0.8053 0.5124 0.7189

=====

# 2
Compound: Rb2LiOsBr6
Source: the Alexandria database
Functional: PBE
Structure: relaxed

Results
ΔE_f (raw), eV per atom: -0.96
Total magnetic moment, μB/cell: 1.0
Mass density, g/cm3: 4.70

abc: 7.5104 7.5104 7.5104
angles: 60.00 60.00 60.00
Atoms (fractional coordinates):
Rb 0.2500 0.2500 0.2500
Rb 0.7500 0.7500 0.7500
Li 0.0000 0.0000 0.0000
Os 0.5000 0.5000 0.5000
Br 0.2612 0.2612 0.7388
Br 0.2612 0.7388 0.2612
Br 0.2612 0.7388 0.7388
Br 0.7388 0.2612 0.2612
Br 0.7388 0.2612 0.7388
Br 0.7388 0.7388 0.2612

=====

# 3
Compound: TbUO5
Source: the Alexandria database
Functional: PBE
Structure: relaxed

Results
ΔE_f (raw), eV per atom: -2.87
Total magnetic moment, μB/cell: 0.0
Mass density, g/cm3: 6.84

abc: 5.7405 5.7405 5.7405
angles: 137.64 109.06 86.25
Atoms (fractional coordinates):
Tb 0.0000 0.0000 0.0000
U 0.5000 0.5000 0.0000
O 0.1894 0.5000 0.6894
O 0.2641 0.2641 0.0000
O 0.5000 0.0000 0.5000
O 0.7359 0.7359 0.0000
O 0.8106 0.5000 0.3106

=====

# 4
Compound: YTaMo2
Source: the Alexandria database
Functional: PBE
Structure: relaxed

Results
Total magnetic moment, μB/cell: 0.0
Mass density, g/cm3: 10.32
DFT formation energy, eV per atom: 0.393

abc: 4.7190 4.7190 4.7190
angles: 60.00 60.00 60.00
Atoms (fractional coordinates):
Y 0.0000 0.0000 0.0000
Ta 0.2500 0.2500 0.2500
Mo 0.5000 0.5000 0.5000
Mo 0.7500 0.7500 0.7500

=====

# 5
Compound: HfRe3Pd
Source: the Alexandria database
Functional: PBE
Structure: relaxed

Results
Total magnetic moment, μB/cell: 0.0
Mass density, g/cm3: 13.71
DFT formation energy, eV per atom: 2.095

abc: 4.6752 4.6752 4.6752
angles: 90.00 90.00 90.00
Atoms (fractional coordinates):
Hf 0.0000 0.0000 0.0000
Re 0.0000 0.5000 0.5000
Re 0.5000 0.0000 0.5000
Re 0.5000 0.5000 0.0000
Pd 0.5000 0.5000 0.5000

=====

# 6
Compound: Sn2Pd4Se
Source: the Alexandria database
Functional: PBE
Structure: relaxed

Results
ΔE_f (raw), eV per atom: 0.01
Total magnetic moment, μB/cell: 0.0
Mass density, g/cm3: 7.94

abc: 7.5882 7.5882 7.5882
angles: 143.28 143.28 52.90
Atoms (fractional coordinates):
Sn 0.1293 0.1293 0.0000
Sn 0.8707 0.8707 0.0000
Pd 0.0000 0.5000 0.5000
Pd 0.3200 0.3200 0.0000
Pd 0.5000 0.0000 0.5000
Pd 0.6800 0.6800 0.0000
Se 0.5000 0.5000 0.0000

=====

# 7
Compound: CsRbTl2Au
Source: the Alexandria database
Functional: PBE
Structure: relaxed

Results
Total magnetic moment, μB/cell: 0.0
Mass density, g/cm3: 6.26
DFT formation energy, eV per atom: -0.021

abc: 5.7863 5.7863 6.5256
angles: 90.00 90.00 90.00
Atoms (fractional coordinates):
Cs 0.0000 0.0000 0.0000
Rb 0.5000 0.5000 0.0000
Tl 0.0000 0.5000 0.5000
Tl 0.5000 0.0000 0.5000
Au 0.5000 0.5000 0.5000

=====

# 8
Compound: Cd2SF
Source: the Alexandria database
Functional: PBE
Structure: relaxed

Results
ΔE_f (raw), eV per atom: -0.73
Total magnetic moment, μB/cell: 0.0
Mass density, g/cm3: 6.41

abc: 4.6585 4.6585 4.6585
angles: 60.00 60.00 60.00
Atoms (fractional coordinates):
Cd 0.2500 0.2500 0.2500
Cd 0.7500 0.7500 0.7500
S 0.0000 0.0000 0.0000
F 0.5000 0.5000 0.5000

=====

# 9
Compound: BaLi2Pt
Source: the Alexandria database
Functional: PBE
Structure: relaxed

Results
Total magnetic moment, μB/cell: 0.0
Mass density, g/cm3: 6.69
DFT formation energy, eV per atom: -0.212

abc: 4.9544 4.9544 4.9544
angles: 60.00 60.00 60.00
Atoms (fractional coordinates):
Ba 0.0000 0.0000 0.0000
Li 0.2500 0.2500 0.2500
Li 0.7500 0.7500 0.7500
Pt 0.5000 0.5000 0.5000

=====

# 10
Compound: LiSeN2F
Source: the Alexandria database
Functional: PBE
Structure: relaxed

Results
ΔE_f (raw), eV per atom: 1.06
Total magnetic moment, μB/cell: 2.4
Mass density, g/cm3: 4.03

abc: 4.0605 4.0605 3.3242
angles: 90.00 90.00 90.00
Atoms (fractional coordinates):
Li 0.0000 0.0000 0.0000
Se 0.5000 0.5000 0.5000
N 0.0000 0.5000 0.0000
N 0.5000 0.0000 0.0000
F 0.0000 0.0000 0.5000

=====

# 11
Compound: KHgBi4
Source: the Alexandria database
Functional: PBE
Structure: relaxed

Results
Total magnetic moment, μB/cell: 0.0
Mass density, g/cm3: 8.33
DFT formation energy, eV per atom: -0.078

abc: 6.7189 6.7189 6.7189
angles: 60.00 60.00 60.00
Atoms (fractional coordinates):
K 0.0000 0.0000 0.0000
Hg 0.7500 0.7500 0.7500
Bi 0.3783 0.3783 0.3783
Bi 0.3783 0.3783 0.8650
Bi 0.3783 0.8650 0.3783
Bi 0.8650 0.3783 0.3783

=====

# 12
Compound: TlTe2PtI
Source: the Alexandria database
Functional: PBE
Structure: relaxed

Results
ΔE_f (raw), eV per atom: 1.19
Total magnetic moment, μB/cell: 1.9
Mass density, g/cm3: 6.67

abc: 5.7573 5.7573 5.8739
angles: 90.00 90.00 90.00
Atoms (fractional coordinates):
Tl 0.0000 0.0000 0.0000
Te 0.0000 0.5000 0.0000
Te 0.5000 0.0000 0.0000
Pt 0.5000 0.5000 0.5000
I 0.0000 0.0000 0.5000

=====

Which value of mass density does entry 4 give?
10.32 g/cm3

=====

total magnetic moment of number 10 (LiSeN2F)?
2.4 μB/cell